(1)
Entry from Alexandria via LeMat-Bulk: crystalline Pm4InAg2Pd at its relaxed geometry (PBE).

a = 9.104 Å, b = 9.104 Å, c = 9.104 Å
α = 33.68°, β = 33.68°, γ = 33.68°
Sites, in units of the cell vectors:
Pm 0.117 0.117 0.117
Pm 0.370 0.370 0.370
Pm 0.630 0.630 0.630
Pm 0.883 0.883 0.883
In 0.500 0.500 0.500
Ag 0.241 0.241 0.241
Ag 0.759 0.759 0.759
Pd 0.000 0.000 0.000

Computed properties:
As for the space group: R-3m, No. 166. The value obtained for the energy of formation from the pure elements is -354 kJ/mol of formula units. The calculation puts the calculated density at 8.17 g/cm3.



(2)
Entry from Alexandria via LeMat-Bulk: crystalline PrIn4AgPd2 at its relaxed geometry (PBE).

a = 9.774 Å, b = 9.774 Å, c = 9.774 Å
α = 27.52°, β = 27.52°, γ = 27.52°
Sites, in units of the cell vectors:
Pr 0.000 0.000 0.000
In 0.127 0.127 0.127
In 0.396 0.396 0.396
In 0.604 0.604 0.604
In 0.873 0.873 0.873
Ag 0.500 0.500 0.500
Pd 0.238 0.238 0.238
Pd 0.762 0.762 0.762

Computed properties:
As for the space group: R-3m, No. 166. The value obtained for the energy of formation from the pure elements is -304 kJ/mol of formula units. The calculation puts the calculated density at 8.69 g/cm3.



(3)
Entry from Alexandria via LeMat-Bulk: crystalline PrInAgPd at its relaxed geometry (PBE).

a = 5.009 Å, b = 5.009 Å, c = 5.009 Å
α = 60.00°, β = 60.00°, γ = 60.00°
Sites, in units of the cell vectors:
Pr 0.000 0.000 0.000
In 0.500 0.500 0.500
Ag 0.250 0.250 0.250
Pd 0.750 0.750 0.750

Computed properties:
As for the space group: F-43m, No. 216. The value obtained for the energy of formation from the pure elements is -191 kJ/mol of formula units. The calculation puts the calculated density at 8.78 g/cm3.



(4)
Entry from Alexandria via LeMat-Bulk: crystalline Pr2In2AgPd5 at its relaxed geometry (PBE).

a = 10.697 Å, b = 10.697 Å, c = 3.649 Å
α = 90.00°, β = 90.00°, γ = 90.00°
Sites, in units of the cell vectors:
Pr 0.172 0.328 0.000
Pr 0.328 0.828 0.000
Pr 0.672 0.172 0.000
Pr 0.828 0.672 0.000
In 0.130 0.630 0.000
In 0.370 0.130 0.000
In 0.630 0.870 0.000
In 0.870 0.370 0.000
Ag 0.000 0.000 0.000
Ag 0.500 0.500 0.000
Pd 0.000 0.500 0.500
Pd 0.046 0.804 0.500
Pd 0.196 0.046 0.500
Pd 0.304 0.546 0.500
Pd 0.454 0.304 0.500
Pd 0.500 0.000 0.500
Pd 0.546 0.696 0.500
Pd 0.696 0.454 0.500
Pd 0.804 0.954 0.500
Pd 0.954 0.196 0.500

Computed properties:
As for the space group: P4/mbm, No. 127. The value obtained for the energy of formation from the pure elements is -422 kJ/mol of formula units. The calculation puts the calculated density at 9.16 g/cm3.



Repeat the first record exactly.
Entry from Alexandria via LeMat-Bulk: crystalline Pm4InAg2Pd at its relaxed geometry (PBE).

a = 9.104 Å, b = 9.104 Å, c = 9.104 Å
α = 33.68°, β = 33.68°, γ = 33.68°
Sites, in units of the cell vectors:
Pm 0.117 0.117 0.117
Pm 0.370 0.370 0.370
Pm 0.630 0.630 0.630
Pm 0.883 0.883 0.883
In 0.500 0.500 0.500
Ag 0.241 0.241 0.241
Ag 0.759 0.759 0.759
Pd 0.000 0.000 0.000

Computed properties:
As for the space group: R-3m, No. 166. The value obtained for the energy of formation from the pure elements is -354 kJ/mol of formula units. The calculation puts the calculated density at 8.17 g/cm3.